The following is a DFT calculation (PBE) of a relaxed RbNbCuS3 crystal.

The structure in CIF format:
```
data_RbNbCuS3
_space_group_name_H-M_alt 'P 1'
_space_group_IT_number 1
_space_group_name_Hall 'P 1'
_cell_length_a 11.9173
_cell_length_b 3.7303
_cell_length_c 12.4911
_cell_angle_alpha 90.00
_cell_angle_beta 90.00
_cell_angle_gamma 90.00
loop_
_atom_site_label
_atom_site_fract_x
_atom_site_fract_y
_atom_site_fract_z
Rb1 0.1780 0.2500 0.0468
Rb2 0.3220 0.7500 0.5468
Rb3 0.6780 0.2500 0.4532
Rb4 0.8220 0.7500 0.9532
Nb1 0.0372 0.2500 0.3595
Nb2 0.4628 0.7500 0.8595
Nb3 0.5372 0.2500 0.1405
Nb4 0.9628 0.7500 0.6405
Cu1 0.1987 0.7500 0.2778
Cu2 0.3013 0.2500 0.7778
Cu3 0.6987 0.7500 0.2222
Cu4 0.8013 0.2500 0.7222
S1 0.0236 0.7500 0.2183
S2 0.0850 0.2500 0.5621
S3 0.2489 0.7500 0.8498
S4 0.2511 0.2500 0.3498
S5 0.4150 0.7500 0.0621
S6 0.4764 0.2500 0.7183
S7 0.5236 0.7500 0.2817
S8 0.5850 0.2500 0.9379
S9 0.7489 0.7500 0.6502
S10 0.7511 0.2500 0.1502
S11 0.9150 0.7500 0.4379
S12 0.9764 0.2500 0.7817
```

Magnetization   0.17 μB per atom
SG   Pnma (62)
E   -0.1937 Ha/atom
Crystal system   orthorhombic

=====

The following is a DFT calculation (PBE) of a relaxed Ba2Re2O5 crystal.

The structure in CIF format:
```
data_Ba2Re2O5
_space_group_name_H-M_alt 'P 1'
_space_group_IT_number 1
_space_group_name_Hall 'P 1'
_cell_length_a 3.9581
_cell_length_b 3.9581
_cell_length_c 8.3568
_cell_angle_alpha 90.00
_cell_angle_beta 90.00
_cell_angle_gamma 90.00
loop_
_atom_site_label
_atom_site_fract_x
_atom_site_fract_y
_atom_site_fract_z
Ba1 0.0000 0.0000 0.0000
Ba2 0.0000 0.0000 0.5000
Re1 0.5000 0.5000 0.2381
Re2 0.5000 0.5000 0.7619
O1 0.0000 0.5000 0.2389
O2 0.0000 0.5000 0.7611
O3 0.5000 0.0000 0.2389
O4 0.5000 0.0000 0.7611
O5 0.5000 0.5000 0.5000
```

Magnetization   0.00 μB per atom
SG   P4/mmm (123)
E   -0.2797 Ha/atom
Crystal system   tetragonal